# LaCuAs2 (PBE-GGA, optimized geometry)
data_LaCuAs2
_space_group_name_H-M_alt 'C 1 m 1'
_space_group_IT_number 8
_cell_length_a 10.4670
_cell_length_b 3.9465
_cell_length_c 4.6656
_cell_angle_alpha 90.00
_cell_angle_beta 106.56
_cell_angle_gamma 90.00
loop_
_space_group_symop_operation_xyz
'x,y,z'
'x,-y,z'
'x+1/2,y+1/2,z'
'x+1/2,-y+1/2,z'
loop_
_atom_site_label
_atom_site_type_symbol
_atom_site_fract_x
_atom_site_fract_y
_atom_site_fract_z
_atom_site_occupancy
La1 La 0.0000 0.0000 0.0000 1
Cu1 Cu 0.2096 0.0000 0.5875 1
As1 As 0.0503 0.5000 0.5298 1
As2 As 0.2895 0.5000 0.3836 1
# ΔH_f (0 K): -0.5586 eV per atom
# Calculated total energy: -41.114 eV for the cell shown
# N(E_F): 2.4 states/eV per cell


# Tl2CdPd7 (PBE-GGA, optimized geometry)
data_Tl2CdPd7
_space_group_name_H-M_alt 'C m m m'
_space_group_IT_number 65
_space_group_name_Hall '-C 2 2'
_cell_length_a 8.4859
_cell_length_b 16.3011
_cell_length_c 2.8861
_cell_angle_alpha 90.00
_cell_angle_beta 90.00
_cell_angle_gamma 90.00
loop_
_atom_site_label
_atom_site_type_symbol
_atom_site_fract_x
_atom_site_fract_y
_atom_site_fract_z
_atom_site_occupancy
Tl1 Tl 0.0000 0.1806 0.0000 1
Cd1 Cd 0.0000 0.5000 0.5000 1
Pd1 Pd 0.0000 0.0000 0.0000 1
Pd2 Pd 0.0000 0.3257 0.5000 1
Pd3 Pd 0.2288 0.4118 0.0000 1
# ΔH_f (0 K): 0.0833 eV per atom
# Calculated total energy: -82.329 eV for the cell shown
# N(E_F): 14.2 states/eV per cell


# K5Y (PBE-GGA, optimized geometry)
data_K5Y
_space_group_name_H-M_alt 'C m m m'
_space_group_IT_number 65
_space_group_name_Hall '-C 2 2'
_cell_length_a 6.0385
_cell_length_b 19.7586
_cell_length_c 6.0907
_cell_angle_alpha 90.00
_cell_angle_beta 90.00
_cell_angle_gamma 90.00
loop_
_atom_site_label
_atom_site_type_symbol
_atom_site_fract_x
_atom_site_fract_y
_atom_site_fract_z
_atom_site_occupancy
K1 K 0.0000 0.0000 0.0000 1
K2 K 0.0000 0.1589 0.5000 1
K3 K 0.0000 0.3438 0.0000 1
Y1 Y 0.0000 0.5000 0.5000 1
# ΔH_f (0 K): 0.3717 eV per atom
# Calculated total energy: -19.443 eV for the cell shown
# N(E_F): 12.7 states/eV per cell


# CaPmSm4 (PBE-GGA, optimized geometry)
data_CaPmSm4
_space_group_name_H-M_alt 'F -4 3 m'
_space_group_IT_number 216
_space_group_name_Hall 'F -4 2 3'
_cell_length_a 9.5766
_cell_length_b 9.5766
_cell_length_c 9.5766
_cell_angle_alpha 90.00
_cell_angle_beta 90.00
_cell_angle_gamma 90.00
loop_
_atom_site_label
_atom_site_type_symbol
_atom_site_fract_x
_atom_site_fract_y
_atom_site_fract_z
_atom_site_occupancy
Ca1 Ca 0.0000 0.0000 0.0000 1
Pm1 Pm 0.2500 0.2500 0.7500 1
Sm1 Sm 0.1236 0.1236 0.3764 1
# ΔH_f (0 K): 0.2051 eV per atom
# Calculated total energy: -97.592 eV for the cell shown
# N(E_F): 29.9 states/eV per cell


# HfPdCl3 (PBE-GGA, optimized geometry)
data_HfPdCl3
_space_group_name_H-M_alt 'P m -3 m'
_space_group_IT_number 221
_space_group_name_Hall '-P 4 2 3'
_cell_length_a 4.9395
_cell_length_b 4.9395
_cell_length_c 4.9395
_cell_angle_alpha 90.00
_cell_angle_beta 90.00
_cell_angle_gamma 90.00
loop_
_atom_site_label
_atom_site_type_symbol
_atom_site_fract_x
_atom_site_fract_y
_atom_site_fract_z
_atom_site_occupancy
Hf1 Hf 0.0000 0.0000 0.0000 1
Pd1 Pd 0.5000 0.5000 0.5000 1
Cl1 Cl 0.0000 0.0000 0.5000 1
# Formation energy without anion corrections: -596 meV per atom
# Calculated total energy: -23.666 eV for the cell shown
# N(E_F): 2.3 states/eV per cell


# SbTeC (PBE-GGA, optimized geometry)
data_SbTeC
_space_group_name_H-M_alt 'P 1'
_space_group_IT_number 1
_cell_length_a 5.9261
_cell_length_b 5.9881
_cell_length_c 6.1536
_cell_angle_alpha 115.60
_cell_angle_beta 96.64
_cell_angle_gamma 111.75
loop_
_space_group_symop_operation_xyz
'x,y,z'
loop_
_atom_site_label
_atom_site_type_symbol
_atom_site_fract_x
_atom_site_fract_y
_atom_site_fract_z
_atom_site_occupancy
Sb1 Sb 0.0000 0.0000 0.0000 1
Sb2 Sb 0.4886 0.2146 0.8746 1
Te1 Te 0.2762 0.6104 0.6346 1
Te2 Te 0.8576 0.8682 0.4582 1
C1 C 0.8418 0.2973 0.1263 1
C2 C 0.9661 0.5391 0.3539 1
# Formation energy without anion corrections: 626 meV per atom
# Calculated total energy: -29.219 eV for the cell shown


# Pr3ErPu2Te6 (PBE-GGA, optimized geometry)
data_Pr3ErPu2Te6
_space_group_name_H-M_alt 'C 1 2/m 1'
_space_group_IT_number 12
_cell_length_a 19.5059
_cell_length_b 4.4345
_cell_length_c 8.9800
_cell_angle_alpha 90.00
_cell_angle_beta 103.96
_cell_angle_gamma 90.00
loop_
_space_group_symop_operation_xyz
'x,y,z'
'-x,-y,-z'
'-x,y,-z'
'x,-y,z'
'x+1/2,y+1/2,z'
'-x+1/2,-y+1/2,-z'
'-x+1/2,y+1/2,-z'
'x+1/2,-y+1/2,z'
loop_
_atom_site_label
_atom_site_type_symbol
_atom_site_fract_x
_atom_site_fract_y
_atom_site_fract_z
_atom_site_occupancy
Pr1 Pr 0.0000 0.0000 0.0000 1
Pr2 Pr 0.1688 0.5000 0.3342 1
Er1 Er 0.0000 0.0000 0.5000 1
Pu1 Pu 0.1661 0.5000 0.8333 1
Te1 Te 0.0005 0.5000 0.7389 1
Te2 Te 0.1617 0.0000 0.5864 1
Te3 Te 0.1688 0.0000 0.0783 1
# Formation energy without anion corrections: -1304 meV per atom
# Calculated total energy: -164.121 eV for the cell shown
# N(E_F): 48.8 states/eV per cell


# TaPtCl2 (PBE-GGA, optimized geometry)
data_TaPtCl2
_space_group_name_H-M_alt 'R -3 m'
_space_group_IT_number 166
_space_group_name_Hall '-R 3 2"'
_cell_length_a 2.9794
_cell_length_b 2.9794
_cell_length_c 31.2140
_cell_angle_alpha 90.00
_cell_angle_beta 90.00
_cell_angle_gamma 120.00
loop_
_atom_site_label
_atom_site_type_symbol
_atom_site_fract_x
_atom_site_fract_y
_atom_site_fract_z
_atom_site_occupancy
Ta1 Ta 0.0000 0.0000 0.0000 1
Pt1 Pt 0.0000 0.0000 0.5000 1
Cl1 Cl 0.0000 0.0000 0.2743 1
# Formation energy without anion corrections: -176 meV per atom
# Calculated total energy: -66.871 eV for the cell shown
# N(E_F): 6.9 states/eV per cell


# Cu2Pb (PBE-GGA, optimized geometry)
data_Cu2Pb
_space_group_name_H-M_alt 'I 4/m m m'
_space_group_IT_number 139
_space_group_name_Hall '-I 4 2'
_cell_length_a 3.2712
_cell_length_b 3.2712
_cell_length_c 10.1432
_cell_angle_alpha 90.00
_cell_angle_beta 90.00
_cell_angle_gamma 90.00
loop_
_atom_site_label
_atom_site_type_symbol
_atom_site_fract_x
_atom_site_fract_y
_atom_site_fract_z
_atom_site_occupancy
Cu1 Cu 0.0000 0.0000 0.2015 1
Pb1 Pb 0.0000 0.0000 0.5000 1
# ΔH_f (0 K): 0.2706 eV per atom
# Calculated total energy: -22.178 eV for the cell shown
# N(E_F): 2.1 states/eV per cell


# YTeOF2 (PBE-GGA, optimized geometry)
data_YTeOF2
_space_group_name_H-M_alt 'P 4/m m m'
_space_group_IT_number 123
_space_group_name_Hall '-P 4 2'
_cell_length_a 4.8441
_cell_length_b 4.8441
_cell_length_c 4.1416
_cell_angle_alpha 90.00
_cell_angle_beta 90.00
_cell_angle_gamma 90.00
loop_
_atom_site_label
_atom_site_type_symbol
_atom_site_fract_x
_atom_site_fract_y
_atom_site_fract_z
_atom_site_occupancy
Y1 Y 0.0000 0.0000 0.0000 1
Te1 Te 0.5000 0.5000 0.5000 1
O1 O 0.5000 0.5000 0.0000 1
F1 F 0.0000 0.5000 0.5000 1
# Formation energy without anion corrections: -1087 meV per atom
# Calculated total energy: -23.740 eV for the cell shown
# N(E_F): 4.1 states/eV per cell